Cu2B2Pd: optimized geometry, PBE-GGA.

Computed properties:
The space group is No. 127. As for the total energy: -5.1813 eV per atom.

POSCAR file:
```
Cu2B2Pd
1.0
5.6012 0.0000 0.0000
0.0000 5.6012 0.0000
0.0000 0.0000 3.2487
B Cu Pd
4 4 2
Cartesian
2.1896 4.9902 0.0000 B
4.9902 3.4116 0.0000 B
3.4116 0.6110 0.0000 B
0.6110 2.1896 0.0000 B
0.9569 3.7575 1.6243 Cu
3.7575 4.6443 1.6243 Cu
4.6443 1.8437 1.6243 Cu
1.8437 0.9569 1.6243 Cu
0.0000 0.0000 0.0000 Pd
2.8006 2.8006 0.0000 Pd
```


Li3Tm3RhO8: optimized geometry, PBE-GGA.

Computed properties:
The value obtained for the formation energy without anion corrections is -2.479 eV/atom. The space group is No. 166. As for the total energy: -6.8910 eV per atom.

POSCAR file:
```
Li3Tm3RhO8
1.0
6.5106 -0.0001 0.0000
-3.2554 5.6380 -0.0195
0.0000 -3.7425 4.9692
Li Tm Rh O
3 3 1 8
Cartesian
0.0000 0.0000 0.0000 Li
-1.6277 2.8190 -0.0098 Li
1.6276 2.8189 -0.0098 Li
3.2553 -1.8713 2.4846 Tm
1.6276 0.9477 2.4748 Tm
-1.6277 0.9477 2.4749 Tm
0.0000 -1.8713 2.4846 Rh
0.0000 1.8832 1.3271 O
3.2553 0.0121 3.6225 O
3.2553 2.0289 1.3403 O
0.0000 -0.1336 3.6094 O
5.0090 -1.0086 1.3509 O
-1.7538 2.9039 3.5988 O
1.5016 -1.0085 1.3509 O
1.7537 2.9038 3.5988 O
```


TbCe2Cd6: optimized geometry, PBE-GGA.

Computed properties:
The space group is No. 191. As for the total energy: -2.7176 eV per atom.

POSCAR file:
```
TbCe2Cd6
1.0
3.3116 -0.0001 0.0009
0.0012 7.6443 4.3959
-0.0003 0.0155 8.8181
Tb Ce Cd
1 2 6
Cartesian
0.0000 0.0000 0.0000 Tb
0.0004 2.5530 4.4042 Ce
3.3121 5.1066 8.8107 Ce
1.6522 5.1305 11.7599 Cd
1.6597 0.0052 2.9180 Cd
1.6602 2.5291 1.4550 Cd
1.6565 5.1189 5.8602 Cd
1.6527 7.6545 10.2968 Cd
1.6559 2.5407 7.3547 Cd
```